First-principles (PBE+U) data for a geometry-optimized VNiO2 structure, as listed in Alexandria via LeMat-Bulk.

a b c (Å): 10.8283 3.0089 6.1080
angles (deg): 90.00 112.38 90.00
Closest atoms and distances in Å follow each position.
Space group Cm (No. 8)
Asymmetric unit:
V: 0.0000 0.0000 0.0000 [2 per cell]  6 O 2.01-2.20
V: 0.2309 0.0000 0.9069 [2 per cell]  6 O 2.01-2.15
Ni: 0.2309 0.5000 0.4248 [2 per cell]  2 O 1.92-1.95
Ni: 0.4874 0.0000 0.4720 [2 per cell]  3 O 1.90-1.98
O: 0.0356 0.0000 0.7003 [2 per cell]  2 Ni 1.98, 2 V 2.01
O: 0.1587 0.5000 0.0789 [2 per cell]  1 Ni 1.95, 2 V 2.15
O: 0.2985 0.5000 0.7647 [2 per cell]  1 Ni 1.92, 3 V 2.01-2.11
O: 0.4255 0.0000 0.1358 [2 per cell]  1 Ni 1.90, 3 V 2.03-2.04

Computed properties:
offset from the most stable computed form: 103.9 meV/atom